Record 1
First-principles (GGA-PBE) data for SiW after structural relaxation, as listed in Alexandria via LeMat-Bulk.

abc: 3.2360 4.6046 3.9296
angles: 90.00 90.00 90.00
Last column: nearest neighbours and their distance in Å.
Space group Cmmm (No. 65)
Symmetry-distinct sites (fractional):
Si (0.0000, 0.0000, 0.0000)  4 W 2.55, 4 Si 2.81
W (0.0000, 0.5000, 0.5000)  4 Si 2.55, 4 W 2.81

Record 2
First-principles (GGA-PBE) data for SiW after structural relaxation, as listed in Alexandria via LeMat-Bulk.

abc: 5.0227 5.0227 4.9942
angles: 90.00 90.00 90.00
Last column: nearest neighbours and their distance in Å.
Space group P4_2/mnm (No. 136)
Symmetry-distinct sites (fractional):
Si (0.2052, 0.2052, 0.0000)  6 W 2.50-2.57
W (0.2096, 0.2096, 0.5000)  6 Si 2.50-2.57

Record 3
First-principles (GGA-PBE) data for Si2W after structural relaxation, as listed in Alexandria via LeMat-Bulk.

abc: 8.8761 3.2514 6.5430
angles: 90.00 111.51 90.00
Last column: nearest neighbours and their distance in Å.
Space group C2/m (No. 12)
Symmetry-distinct sites (fractional):
Si (0.0330, 0.0000, 0.3285)  5 W 2.46-2.65, 1 Si 2.52
Si (0.1451, 0.5000, 0.0343)  3 Si 2.45-2.63, 3 W 2.58-2.61
W (0.1866, 0.5000, 0.6601)  8 Si 2.46-2.65

Results
Energy above the most stable polymorph in this dataset   158.6 meV per atom

Record 4
First-principles (GGA-PBE) data for Si2W after structural relaxation, as listed in Alexandria via LeMat-Bulk.

abc: 4.4635 4.4635 2.6488
angles: 90.00 90.00 90.00
Last column: nearest neighbours and their distance in Å.
Space group P4/mmm (No. 123)
Symmetry-distinct sites (fractional):
Si (0.0000, 0.5000, 0.0000)  4 W 2.60, 2 Si 2.65
W (0.0000, 0.0000, 0.5000)  8 Si 2.60, 2 W 2.65

Results
Energy above the most stable polymorph in this dataset   690.9 meV per atom

Record 5
First-principles (GGA-PBE) data for SiW after structural relaxation, as listed in Alexandria via LeMat-Bulk.

abc: 4.3343 4.3343 7.6066
angles: 90.00 90.00 120.00
Last column: nearest neighbours and their distance in Å.
Space group P6_3/mmc (No. 194)
Symmetry-distinct sites (fractional):
Si (0.0000, 0.0000, 0.2500)  3 Si 2.50
Si (0.3333, 0.6667, 0.2500)  2 W 2.48, 3 Si 2.50
W (0.3333, 0.6667, 0.5763)  1 Si 2.48, 4 W 2.64-2.76

Record 6
First-principles (GGA-PBE) data for SiW after structural relaxation, as listed in Alexandria via LeMat-Bulk.

abc: 4.1501 14.0297 3.0959
angles: 90.00 90.00 90.00
Last column: nearest neighbours and their distance in Å.
Space group Cmmm (No. 65)
Symmetry-distinct sites (fractional):
Si (0.0000, 0.0000, 0.0000)  6 W 2.38-2.59
Si (0.0000, 0.3123, 0.5000)  7 W 2.53-2.63, 2 Si 2.71
W (0.0000, 0.1696, 0.0000)  7 Si 2.38-2.60
W (0.0000, 0.5000, 0.5000)  6 Si 2.59-2.63

Record 7
First-principles (GGA-PBE) data for SiW after structural relaxation, as listed in Alexandria via LeMat-Bulk.

abc: 3.2431 4.4136 8.4687
angles: 90.00 90.00 90.00
Last column: nearest neighbours and their distance in Å.
Space group Cmme (No. 67)
Symmetry-distinct sites (fractional):
Si (0.0000, 0.2500, 0.1282)  2 W 2.60, 6 Si 2.71-2.74
W (0.0000, 0.2500, 0.6324)  2 Si 2.60, 6 W 2.74-2.77

Record 8
First-principles (GGA-PBE) data for Si2W after structural relaxation, as listed in Alexandria via LeMat-Bulk.

abc: 6.0475 6.0475 6.0475
angles: 90.00 90.00 90.00
Last column: nearest neighbours and their distance in Å.
Space group Pa-3 (No. 205)
Symmetry-distinct sites (fractional):
Si (0.1210, 0.1210, 0.1210)  3 W 2.51, 1 Si 2.53
W (0.0000, 0.0000, 0.5000)  6 Si 2.51

Results
Energy above the most stable polymorph in this dataset   1347.5 meV per atom

Record 9
First-principles (GGA-PBE) data for Si2W after structural relaxation, as listed in Alexandria via LeMat-Bulk.

abc: 5.8809 5.8809 5.8809
angles: 90.00 90.00 90.00
Last column: nearest neighbours and their distance in Å.
Space group Fm-3m (No. 225)
Symmetry-distinct sites (fractional):
Si (0.2500, 0.2500, 0.2500)  4 W 2.55
W (0.0000, 0.0000, 0.0000)  8 Si 2.55

Results
Energy above the most stable polymorph in this dataset   854.9 meV per atom

Record 10
First-principles (GGA-PBE) data for Si2W after structural relaxation, as listed in Alexandria via LeMat-Bulk.

abc: 4.6125 4.6125 6.6479
angles: 90.00 90.00 120.00
Last column: nearest neighbours and their distance in Å.
Space group P6_222 (No. 180)
Symmetry-distinct sites (fractional):
Si (0.1637, 0.3273, 0.0000)  5 Si 2.57-2.69, 5 W 2.59-2.69
W (0.0000, 0.5000, 0.6667)  10 Si 2.59-2.69

Results
Energy above the most stable polymorph in this dataset   67.1 meV per atom

Record 11
First-principles (GGA-PBE) data for SiW after structural relaxation, as listed in Alexandria via LeMat-Bulk.

abc: 3.1220 10.4704 5.4747
angles: 90.00 90.00 90.00
Last column: nearest neighbours and their distance in Å.
Space group Imm2 (No. 44)
Symmetry-distinct sites (fractional):
Si (0.0000, 0.0000, 0.0000)  4 Si 2.58, 6 W 2.59-2.81
Si (0.0000, 0.3540, 0.7508)  5 W 2.54-2.55, 2 Si 2.58
W (0.0000, 0.0000, 0.4862)  6 Si 2.54-2.81, 4 W 2.83
W (0.0000, 0.3378, 0.2864)  5 Si 2.55-2.59, 2 W 2.83

Record 12
First-principles (GGA-PBE) data for SiW after structural relaxation, as listed in Alexandria via LeMat-Bulk.

abc: 6.5253 7.5201 9.9104
angles: 90.00 90.00 90.00
Last column: nearest neighbours and their distance in Å.
Space group Fddd (No. 70, origin choice 2)
Symmetry-distinct sites (fractional):
Si (0.0585, 0.3750, 0.3750)  1 Si 2.39, 6 W 2.54-2.56
W (0.1250, 0.3269, 0.6250)  6 Si 2.54-2.56

Number 1: calculated total energy -36.03 eV for the cell shown. Number 2: calculated total energy -69.07 eV for the cell shown. Number 3: calculated total energy -97.48 eV for the cell shown. Number 4: calculated total energy -22.77 eV for the cell shown. Number 5: calculated total energy -70.77 eV for the cell shown. Number 6: calculated total energy -108.10 eV for the cell shown. Number 7: calculated total energy -71.65 eV for the cell shown. Number 8: calculated total energy -83.21 eV for the cell shown. Number 9: calculated total energy -89.12 eV for the cell shown. Number 10: calculated total energy -73.93 eV for the cell shown. Number 11: calculated total energy -109.48 eV for the cell shown. Number 12: calculated total energy -283.23 eV for the cell shown.